[1]
Compound: SrCa2TiAg
Source: Alexandria
Functional: PBEsol
Structure: optimized geometry

Lattice parameters (Å, degrees): 5.6196 5.6196 5.8322 90.00 90.00 90.00
With the nearest neighbours (Å) after each atom.
Positions (direct):
Ca (0.5000, 0.0000, 0.0000)  2 Ag 2.81
Sr (0.0000, 0.0000, 0.5000)  2 Ag 2.92
Ti (0.5000, 0.5000, 0.5000)  4 Sr 3.97, 8 Ca 4.05
Ag (0.0000, 0.0000, 0.0000)  4 Ca 2.81, 2 Sr 2.92
Ca (0.0000, 0.5000, 0.0000)  2 Ag 2.81

The symmetry is P4/mmm, No. 123. The value obtained for the magnetic moment is 3.34 μB per formula unit. The density of states at the Fermi level comes out at 1.606 states/eV/atom. The calculated total energy is -15.06 eV per cell. The calculation puts the energy relative to the elements at 0.54 eV per atom.

[2]
Compound: MgTcIr2
Source: Alexandria
Functional: PBEsol
Structure: optimized geometry

Lattice parameters (Å, degrees): 2.8103 4.4727 4.6043 90.00 90.00 90.00
With the nearest neighbours (Å) after each atom.
Positions (direct):
Ir (0.0000, 0.0000, 0.0000)  4 Mg 2.64, 6 Ir 2.70-2.81
Tc (0.0000, 0.5000, 0.5000)  4 Ir 2.64, 4 Mg 2.70, 2 Tc 2.81
Ir (0.5000, 0.0000, 0.5000)  4 Tc 2.64, 6 Ir 2.70-2.81
Mg (0.5000, 0.5000, 0.0000)  4 Ir 2.64, 4 Tc 2.70, 2 Mg 2.81

The symmetry is Pmmm, No. 47. The value obtained for the magnetic moment is 0.00 μB per formula unit. The density of states at the Fermi level comes out at 0.934 states/eV/atom. The calculated total energy is -32.00 eV per cell. The calculation puts the energy relative to the elements at 0.16 eV per atom.

[3]
Compound: LiFePt2
Source: Alexandria
Functional: PBEsol
Structure: optimized geometry

Lattice parameters (Å, degrees): 3.4024 3.9464 3.9464 90.00 90.00 90.00
With the nearest neighbours (Å) after each atom.
Positions (direct):
Li (0.5000, 0.0000, 0.0000)  8 Pt 2.61, 4 Fe 2.79
Pt (0.0000, 0.0000, 0.5000)  4 Fe 2.61, 4 Li 2.61, 4 Pt 2.79
Pt (0.0000, 0.5000, 0.0000)  4 Fe 2.61, 4 Li 2.61, 4 Pt 2.79
Fe (0.5000, 0.5000, 0.5000)  8 Pt 2.61, 4 Li 2.79

The symmetry is P4/mmm, No. 123. The value obtained for the magnetic moment is 3.86 μB per formula unit. The density of states at the Fermi level comes out at 0.740 states/eV/atom. The calculated total energy is -26.03 eV per cell. The calculation puts the energy relative to the elements at -0.29 eV per atom.

> What is the density of states at the Fermi level in the first record?

1.606 states/eV/atom